Computed, not measured: a relaxed structure of NdNi2O4 at the GGA+U level of DFT.

Calculated values
Energy relative to the lowest polymorph listed for this composition, meV/atom: 0
Crystal system: tetragonal

Cell: 5.9843 5.9843 5.9843 Å, 109.34 109.34 109.73°
Positions (direct):
Nd: 0.3750 0.6250 0.7500
Nd: 0.6250 0.3750 0.2500
Ni: 0.0000 0.0000 0.0000
Ni: 0.0000 0.0000 0.5000
Ni: 0.0000 0.5000 0.0000
Ni: 0.5000 0.0000 0.5000
O: 0.1393 0.7115 0.4278
O: 0.2162 0.2885 0.9278
O: 0.2885 0.2162 0.4278
O: 0.2885 0.8607 0.0722
O: 0.7115 0.1393 0.9278
O: 0.7115 0.7838 0.5722
O: 0.7838 0.7115 0.0722
O: 0.8607 0.2885 0.5722